[1]
{"formula": "CeGa6Fe2", "functional": "PBE", "state": "optimized geometry", "cell": [[-2.383, 3.845, -0.022], [-0.174, -0.134, -4.519], [-7.758, -4.805, 0.442]], "species": ["Ga", "Ga", "Ga", "Ga", "Ga", "Ga", "Fe", "Fe", "Ce"], "fractional_positions": [[0.500, 0.000, 0.769], [0.500, 0.500, 0.500], [0.500, 0.000, 0.231], [0.000, 0.500, 0.231], [0.000, 0.500, 0.769], [0.500, 0.500, 0.000], [0.500, 0.500, 0.749], [0.500, 0.500, 0.251], [0.000, 0.000, 0.500]], "vol_a3_per_cell": 187, "delta_e_f_mev_per_atom": -223, "magnetic_moment_mub_per_cell": 1.106, "mass_density_g_cm3": 5.95}

[2]
{"formula": "Ce3GaFe", "functional": "PBE", "state": "optimized geometry", "cell": [[-0.303, 3.279, 3.787], [-4.123, -2.319, 1.678], [2.846, -3.010, 2.834]], "species": ["Ga", "Ce", "Ce", "Ce", "Fe"], "fractional_positions": [[0.500, 0.500, 0.500], [0.000, 0.500, 0.000], [0.000, 0.000, 0.500], [0.500, 0.000, 0.000], [0.000, 0.000, 0.000]], "e_above_lowest_polymorph_mev_per_atom": 64, "vol_a3_per_cell": 126, "delta_e_f_mev_per_atom": -153, "magnetic_moment_mub_per_cell": 1.220, "mass_density_g_cm3": 7.17}

[3]
{"formula": "Ce2Ga12Fe", "functional": "PBE", "state": "optimized geometry", "cell": [[-1.957, 4.702, -3.204], [-5.589, -2.224, 0.150], [-2.766, 7.843, 13.200]], "species": ["Ga", "Ga", "Ga", "Ga", "Ga", "Ga", "Ga", "Ga", "Ga", "Ga", "Ga", "Ga", "Ga", "Ga", "Ga", "Ga", "Ga", "Ga", "Ga", "Ga", "Ga", "Ga", "Ga", "Ga", "Ce", "Ce", "Ce", "Ce", "Fe", "Fe"], "fractional_positions": [[0.250, 0.250, 0.917], [0.830, 0.330, 0.570], [0.170, 0.670, 0.570], [0.170, 0.330, 0.430], [0.830, 0.670, 0.430], [0.500, 0.500, 0.186], [0.670, 0.170, 0.430], [0.750, 0.750, 0.083], [0.500, 0.500, 0.814], [0.000, 0.000, 0.814], [0.750, 0.750, 0.917], [0.000, 0.000, 0.342], [0.500, 0.500, 0.342], [0.330, 0.170, 0.570], [0.000, 0.000, 0.186], [0.670, 0.830, 0.570], [0.250, 0.750, 0.083], [0.500, 0.500, 0.658], [0.330, 0.830, 0.430], [0.000, 0.000, 0.658], [0.250, 0.750, 0.917], [0.250, 0.250, 0.083], [0.750, 0.250, 0.083], [0.750, 0.250, 0.917], [0.000, 0.500, 0.238], [0.500, 0.000, 0.762], [0.000, 0.500, 0.762], [0.500, 0.000, 0.238], [0.000, 0.500, 0.000], [0.500, 0.000, 0.000]], "vol_a3_per_cell": 565, "delta_e_f_mev_per_atom": -332, "magnetic_moment_mub_per_cell": 1.006, "mass_density_g_cm3": 6.90}

[4]
{"formula": "CeGa3Fe", "functional": "PBE", "state": "optimized geometry", "cell": [[4.069, 0.000, 0.000], [0.000, 8.237, 0.000], [0.000, 0.000, 10.659]], "species": ["Fe", "Fe", "Fe", "Fe", "Ga", "Ga", "Ga", "Ga", "Ga", "Ga", "Ga", "Ga", "Ga", "Ga", "Ga", "Ga", "Ce", "Ce", "Ce", "Ce"], "fractional_positions": [[0.750, 0.876, 0.360], [0.750, 0.376, 0.140], [0.250, 0.124, 0.640], [0.250, 0.624, 0.860], [0.250, 0.852, 0.217], [0.750, 0.105, 0.221], [0.250, 0.052, 0.414], [0.750, 0.448, 0.914], [0.750, 0.948, 0.586], [0.250, 0.395, 0.721], [0.750, 0.648, 0.717], [0.750, 0.148, 0.783], [0.250, 0.352, 0.283], [0.750, 0.605, 0.279], [0.250, 0.895, 0.779], [0.250, 0.552, 0.086], [0.750, 0.802, 0.003], [0.250, 0.698, 0.503], [0.750, 0.302, 0.497], [0.250, 0.198, 0.997]], "e_above_lowest_polymorph_mev_per_atom": 0, "vol_a3_per_cell": 357, "delta_e_f_mev_per_atom": -394, "magnetic_moment_mub_per_cell": 0.265, "mass_density_g_cm3": 7.53}